Entry from Alexandria: Y5HoAg6 after structural relaxation (GGA-PBE).

Summary:
M_tot   0.00 μB/cell
SG   Cmmm, No. 65
Energy of formation   -0.332 eV per atom
ρ   7.20 g/cm³

Lattice parameters (Å, degrees): 8.175 8.175 7.228 90.00 90.00 143.13
Atoms (fractional coordinates):
Y 0.000 0.000 0.000
Y 0.333 0.667 0.000
Y 0.334 0.666 0.500
Y 0.666 0.334 0.500
Y 0.667 0.333 0.000
Ho 0.000 0.000 0.500
Ag 0.166 0.834 0.251
Ag 0.166 0.834 0.749
Ag 0.500 0.500 0.252
Ag 0.500 0.500 0.748
Ag 0.834 0.166 0.251
Ag 0.834 0.166 0.749

***

Entry from Alexandria: CeNpHg after structural relaxation (GGA-PBE).

Summary:
M_tot   0.00 μB/cell
SG   P-1, No. 2
Energy of formation   -0.070 eV per atom
ρ   13.08 g/cm³

Lattice parameters (Å, degrees): 3.465 3.524 12.400 85.77 83.36 77.60
Atoms (fractional coordinates):
Ce 0.089 0.154 0.279
Ce 0.911 0.846 0.721
Np 0.311 0.811 0.459
Np 0.689 0.189 0.541
Hg 0.319 0.295 0.912
Hg 0.681 0.705 0.088

***

Entry from Alexandria: SrTa2Pb after structural relaxation (GGA-PBE).

Summary:
M_tot   0.00 μB/cell
SG   Immm, No. 71
Energy of formation   0.828 eV per atom
ρ   11.37 g/cm³

Lattice parameters (Å, degrees): 4.046 4.630 10.235 90.00 90.00 90.00
Atoms (fractional coordinates):
Sr 0.000 0.000 0.000
Sr 0.500 0.500 0.500
Ta 0.000 0.500 0.241
Ta 0.000 0.500 0.759
Ta 0.500 0.000 0.259
Ta 0.500 0.000 0.741
Pb 0.000 0.000 0.500
Pb 0.500 0.500 0.000

***

Entry from Alexandria: DyTh2Ru2 after structural relaxation (GGA-PBE).

Summary:
M_tot   0.00 μB/cell
SG   C2/m, No. 12
Energy of formation   -0.375 eV per atom
ρ   11.28 g/cm³

Lattice parameters (Å, degrees): 6.654 6.654 11.158 115.86 115.86 33.71
Atoms (fractional coordinates):
Dy 0.200 0.200 0.363
Dy 0.800 0.800 0.637
Th 0.337 0.337 0.923
Th 0.445 0.445 0.298
Th 0.555 0.555 0.702
Th 0.663 0.663 0.077
Ru 0.028 0.028 0.887
Ru 0.122 0.122 0.575
Ru 0.878 0.878 0.425
Ru 0.972 0.972 0.113

***

Entry from Alexandria: CuReF3 after structural relaxation (GGA-PBE).

Summary:
M_tot   6.06 μB/cell
SG   Pm-3m, No. 221
ρ   7.29 g/cm³
ΔE_f (raw)   -0.22 eV per atom

Lattice parameters (Å, degrees): 4.120 4.120 4.120 90.00 90.00 90.00
Atoms (fractional coordinates):
Cu 0.000 0.000 0.000
Re 0.500 0.500 0.500
F 0.000 0.000 0.500
F 0.000 0.500 0.000
F 0.500 0.000 0.000

***

Entry from Alexandria: CaTaIr2Au after structural relaxation (GGA-PBE).

Summary:
M_tot   1.15 μB/cell
SG   P4/mmm, No. 123
Energy of formation   1.394 eV per atom
ρ   10.92 g/cm³

Lattice parameters (Å, degrees): 5.039 5.039 4.805 90.00 90.00 90.00
Atoms (fractional coordinates):
Ca 0.000 0.000 0.000
Ta 0.500 0.500 0.000
Ir 0.000 0.500 0.500
Ir 0.500 0.000 0.500
Au 0.500 0.500 0.500

***

Entry from Alexandria: KPu2Te6Pb3 after structural relaxation (GGA-PBE).

Summary:
M_tot   11.00 μB/cell
SG   C2/m, No. 12
ρ   7.50 g/cm³
ΔE_f (raw)   -0.70 eV per atom

Lattice parameters (Å, degrees): 10.341 10.341 9.358 102.62 102.62 25.75
Atoms (fractional coordinates):
K 0.000 0.000 0.000
Pu 0.333 0.333 0.666
Pu 0.667 0.667 0.334
Te 0.170 0.170 0.575
Te 0.175 0.175 0.100
Te 0.492 0.492 0.734
Te 0.508 0.508 0.266
Te 0.825 0.825 0.900
Te 0.830 0.830 0.425
Pb 0.000 0.000 0.500
Pb 0.339 0.339 0.166
Pb 0.661 0.661 0.834

***

Entry from Alexandria: CaGa2Hg after structural relaxation (GGA-PBE).

Summary:
M_tot   0.00 μB/cell
SG   Cmcm, No. 63
Energy of formation   -0.359 eV per atom
ρ   7.11 g/cm³

Lattice parameters (Å, degrees): 4.717 10.904 6.902 90.00 90.00 90.00
Atoms (fractional coordinates):
Ca 0.000 0.093 0.250
Ca 0.000 0.907 0.750
Ca 0.500 0.407 0.750
Ca 0.500 0.593 0.250
Ga 0.000 0.386 0.055
Ga 0.000 0.386 0.445
Ga 0.000 0.614 0.555
Ga 0.000 0.614 0.945
Ga 0.500 0.114 0.555
Ga 0.500 0.114 0.945
Ga 0.500 0.886 0.055
Ga 0.500 0.886 0.445
Hg 0.000 0.204 0.750
Hg 0.000 0.796 0.250
Hg 0.500 0.296 0.250
Hg 0.500 0.704 0.750